The following is a GGA-PBE calculation of a geometry-optimized NiMoS2N structure, from Alexandria via LeMat-Bulk.

Structure (POSCAR):
```
NiMoS2N
1.0
4.627 0.000 0.000
0.000 4.627 0.000
0.000 0.000 3.409
Mo N S Ni
1 1 2 1
Direct
0.500 0.500 0.500
0.000 0.000 0.500
0.500 0.000 0.000
0.000 0.500 0.000
0.000 0.000 0.000
```

Summary:
VASP energy, eV per atom: -5.859
Size of the total moment, μB/atom: 0.4062
Excess energy over the best structure of this formula in the dataset, meV/atom: 239
Energy relative to the elements, uncorrected, eV per atom: 0.779



The following is a GGA-PBE calculation of a geometry-optimized FeCu2Mo structure, from Alexandria via LeMat-Bulk.

Structure (POSCAR):
```
FeCu2Mo
1.0
4.685 -0.010 0.026
3.961 2.502 0.026
0.722 0.208 4.369
Mo Cu Fe
1 2 1
Direct
0.250 0.250 0.250
0.496 0.496 0.507
0.004 0.004 0.993
0.750 0.750 0.750
```

Summary:
VASP energy, eV per atom: -6.609
Size of the total moment, μB/atom: 0.3217
Excess energy over the best structure of this formula in the dataset, meV/atom: 108
DFT formation energy, eV per atom: 0.26